1.
Material: Sm4CoSe2Br
Method: DFT, GGA-PBE
State: relaxed

Unit cell a=7.3016 b=4.0043 c=7.4030 alpha=90.00 beta=107.83 gamma=90.00
Atoms (fractional coordinates):
Sm  0.2212  0.0000  0.2135
Sm  0.2530  0.5000  0.7746
Sm  0.7470  0.5000  0.2254
Sm  0.7788  0.0000  0.7865
Co  0.0000  0.5000  0.0000
Se  0.5000  0.0000  0.0000
Se  0.5000  0.5000  0.5000
Br  0.0000  0.0000  0.5000

Calculated values
**N(E_F)**: 6.18 states/eV/f.u.
**Total energy**: -5.518 eV/atom
**Raw formation energy**: -1190 meV per atom
**SG**: P2/m
**Spin magnetization**: 0.0 μB per formula unit

***

2.
Material: InBAs2Se
Method: DFT, GGA-PBE
State: relaxed

Unit cell a=5.3162 b=5.3162 c=5.4893 alpha=90.00 beta=90.00 gamma=90.00
Atoms (fractional coordinates):
In  0.0000  0.0000  0.0000
B  0.5000  0.5000  0.5000
As  0.0000  0.5000  0.0000
As  0.5000  0.0000  0.0000
Se  0.0000  0.0000  0.5000

Calculated values
**N(E_F)**: 5.14 states/eV/f.u.
**Total energy**: -2.782 eV/atom
**Raw formation energy**: 1658 meV per atom
**Energy above the lowest structure with this stoichiometry**: 5.23 eV/f.u.
**SG**: P4/mmm
**Spin magnetization**: 0.7 μB per formula unit

***

3.
Material: KAlW
Method: DFT, GGA-PBE
State: relaxed

Unit cell a=8.3174 b=8.3174 c=8.3174 alpha=160.72 beta=160.72 gamma=27.40
Atoms (fractional coordinates):
K  0.0000  0.0000  0.0000
Al  0.6843  0.6843  0.0000
W  0.3092  0.3092  0.0000

Calculated values
**N(E_F)**: 2.19 states/eV/f.u.
**Total energy**: -5.172 eV/atom
**Energy above the lowest structure with this stoichiometry**: 0.02 eV/f.u.
**SG**: I4mm
**Spin magnetization**: 0.0 μB per formula unit

***

4.
Material: BaPmPr2In4
Method: DFT, GGA-PBE
State: relaxed

Unit cell a=9.7487 b=9.7487 c=9.7487 alpha=33.48 beta=33.48 gamma=33.48
Atoms (fractional coordinates):
Ba  0.0000  0.0000  0.0000
Pm  0.5000  0.5000  0.5000
Pr  0.2514  0.2514  0.2514
Pr  0.7486  0.7486  0.7486
In  0.1288  0.1288  0.1288
In  0.3805  0.3805  0.3805
In  0.6195  0.6195  0.6195
In  0.8712  0.8712  0.8712

Calculated values
**N(E_F)**: 5.61 states/eV/f.u.
**Total energy**: -3.805 eV/atom
**SG**: R-3m
**Spin magnetization**: 0.0 μB per formula unit

***

5.
Material: La3CoSn
Method: DFT, GGA-PBE
State: relaxed

Unit cell a=6.1737 b=6.7546 c=6.9790 alpha=101.90 beta=94.87 gamma=93.25
Atoms (fractional coordinates):
La  0.1768  0.1755  0.4344
La  0.2742  0.6412  0.2895
La  0.2822  0.1442  0.9476
La  0.7178  0.8558  0.0524
La  0.7258  0.3588  0.7105
La  0.8232  0.8245  0.5656
Co  0.4148  0.9380  0.6561
Co  0.5852  0.0620  0.3439
Sn  0.2508  0.6159  0.7848
Sn  0.7492  0.3841  0.2152

Calculated values
**N(E_F)**: 3.45 states/eV/f.u.
**Total energy**: -5.586 eV/atom
**Energy above the lowest structure with this stoichiometry**: 0.20 eV/f.u.
**SG**: P-1
**Spin magnetization**: 0.0 μB per formula unit

***

6.
Material: KBa2W
Method: DFT, GGA-PBE
State: relaxed

Unit cell a=3.4258 b=3.4258 c=13.1135 alpha=90.00 beta=90.00 gamma=90.00
Atoms (fractional coordinates):
K  0.0000  0.0000  0.0000
Ba  0.0000  0.0000  0.3885
Ba  0.5000  0.5000  0.6884
W  0.5000  0.5000  0.2085

Calculated values
**N(E_F)**: 6.19 states/eV/f.u.
**Total energy**: -3.148 eV/atom
**Energy above the lowest structure with this stoichiometry**: 1.32 eV/f.u.
**SG**: P4mm
**Spin magnetization**: 1.0 μB per formula unit

***

7.
Material: Hf2AlFe
Method: DFT, GGA-PBE
State: relaxed

Unit cell a=8.6353 b=8.6353 c=8.6353 alpha=21.12 beta=21.12 gamma=21.12
Atoms (fractional coordinates):
Hf  0.2397  0.2397  0.2397
Hf  0.7603  0.7603  0.7603
Al  0.0000  0.0000  0.0000
Fe  0.5000  0.5000  0.5000

Calculated values
**N(E_F)**: 3.72 states/eV/f.u.
**Total energy**: -8.063 eV/atom
**SG**: R-3m
**Spin magnetization**: 0.5 μB per formula unit

***

8.
Material: CaCuRu2
Method: DFT, GGA-PBE
State: relaxed

Unit cell a=4.4900 b=4.4900 c=4.4900 alpha=119.87 beta=119.87 gamma=90.23
Atoms (fractional coordinates):
Ca  0.0000  0.0000  0.0000
Cu  0.2500  0.7500  0.5000
Ru  0.5000  0.5000  0.0000
Ru  0.7500  0.2500  0.5000

Calculated values
**N(E_F)**: 5.02 states/eV/f.u.
**Total energy**: -5.777 eV/atom
**Energy above the lowest structure with this stoichiometry**: 0.61 eV/f.u.
**SG**: I-4m2
**Spin magnetization**: 0.0 μB per formula unit

***

9.
Material: CaSiNF2
Method: DFT, GGA-PBE
State: relaxed

Unit cell a=4.1742 b=4.1742 c=4.9250 alpha=90.00 beta=90.00 gamma=90.00
Atoms (fractional coordinates):
Ca  0.0000  0.0000  0.0000
Si  0.5000  0.5000  0.5000
N  0.0000  0.0000  0.5000
F  0.0000  0.5000  0.0000
F  0.5000  0.0000  0.0000

Calculated values
**N(E_F)**: 1.19 states/eV/f.u.
**Total energy**: -4.732 eV/atom
**Raw formation energy**: -834 meV per atom
**Energy above the lowest structure with this stoichiometry**: 3.97 eV/f.u.
**SG**: P4/mmm
**Spin magnetization**: 1.0 μB per formula unit

***

10.
Material: Co2AgGe2
Method: DFT, GGA-PBE
State: relaxed

Unit cell a=7.0319 b=7.0319 c=2.7420 alpha=90.00 beta=90.00 gamma=90.00
Atoms (fractional coordinates):
Co  0.1422  0.3578  0.0000
Co  0.3578  0.8578  0.0000
Co  0.6422  0.1422  0.0000
Co  0.8578  0.6422  0.0000
Ag  0.0000  0.0000  0.5000
Ag  0.5000  0.5000  0.5000
Ge  0.1500  0.6500  0.5000
Ge  0.3500  0.1500  0.5000
Ge  0.6500  0.8500  0.5000
Ge  0.8500  0.3500  0.5000

Calculated values
**N(E_F)**: 2.15 states/eV/f.u.
**Total energy**: -5.299 eV/atom
**Energy above the lowest structure with this stoichiometry**: 0.00 eV/f.u.
**SG**: P4/mbm
**Spin magnetization**: 0.0 μB per formula unit

***

11.
Material: Y2Ga4Ir3Rh
Method: DFT, GGA-PBE
State: relaxed

Unit cell a=4.2339 b=4.2339 c=10.2354 alpha=90.00 beta=90.00 gamma=90.00
Atoms (fractional coordinates):
Y  0.0000  0.5000  0.2372
Y  0.5000  0.0000  0.7628
Ga  0.0000  0.0000  0.5000
Ga  0.0000  0.5000  0.8735
Ga  0.5000  0.0000  0.1265
Ga  0.5000  0.5000  0.5000
Ir  0.0000  0.0000  0.0000
Ir  0.0000  0.5000  0.6342
Ir  0.5000  0.0000  0.3658
Rh  0.5000  0.5000  0.0000

Calculated values
**N(E_F)**: 5.60 states/eV/f.u.
**Total energy**: -6.637 eV/atom
**SG**: P-4m2
**Spin magnetization**: 0.0 μB per formula unit

***

12.
Material: NaBi2Au2
Method: DFT, GGA-PBE
State: relaxed

Unit cell a=6.5141 b=6.5141 c=5.3463 alpha=111.29 beta=111.29 gamma=42.35
Atoms (fractional coordinates):
Na  0.0000  0.0000  0.0000
Bi  0.3660  0.3660  0.4688
Bi  0.6340  0.6340  0.5312
Au  0.2278  0.2278  0.8441
Au  0.7722  0.7722  0.1559

Calculated values
**N(E_F)**: 2.00 states/eV/f.u.
**Total energy**: -3.294 eV/atom
**Energy above the lowest structure with this stoichiometry**: 0.06 eV/f.u.
**SG**: C2/m
**Spin magnetization**: 0.0 μB per formula unit